The following is a DFT calculation (PBE-GGA) of DyIrSe2 after structural relaxation.

POSCAR file:
```
DyIrSe2
1.0
-0.204 -2.924 -2.410
2.737 -0.531 -2.574
4.948 -5.828 3.666
Ir Se Dy
1 2 1
Cartesian
3.741 -4.642 -0.659
3.518 -4.198 1.810
3.963 -5.085 -3.128
0.000 0.000 0.000
```

## Properties
M_tot	0.000	μB/atom
volume	102	Å³/cell
formation energy from raw total energies	-1.46	eV/f.u.
SG	R-3m
DOS at the Fermi energy	0.86	states/eV/f.u.
theoretical density	8.33	g/cm3



The following is a DFT calculation (PBE-GGA) of AlCd2Te after structural relaxation.

POSCAR file:
```
AlCd2Te
1.0
11.797 0.099 0.058
11.363 3.173 0.058
11.363 1.605 2.738
Te Al Cd
1 1 2
Cartesian
25.892 3.658 2.140
8.631 1.219 0.713
34.111 4.819 2.819
17.673 2.497 1.461
```

## Properties
M_tot	0.000	μB/atom
volume	97	Å³/cell
excess energy over the best structure of this formula in the dataset	169	meV/atom
formation energy from raw total energies	0.58	eV/f.u.
SG	R-3m
DOS at the Fermi energy	1.21	states/eV/f.u.
theoretical density	6.47	g/cm3



The following is a DFT calculation (PBE-GGA) of Dy2Ho2Hg after structural relaxation.

POSCAR file:
```
Dy2Ho2Hg
1.0
5.033 0.000 0.000
0.000 5.033 0.000
-2.517 -2.517 12.412
Dy Ho Hg
4 4 2
Cartesian
0.000 2.517 10.525
2.517 2.517 4.319
0.000 0.000 8.093
0.000 2.517 1.887
2.517 2.517 8.016
2.517 0.000 1.810
2.517 0.000 10.602
0.000 0.000 4.396
2.517 2.517 0.000
0.000 2.517 6.206
```

## Properties
M_tot	0.215	μB/atom
volume	314	Å³/cell
excess energy over the best structure of this formula in the dataset	139	meV/atom
SG	I4_1/amd
DOS at the Fermi energy	9.36	states/eV/f.u.
theoretical density	9.03	g/cm3
formation energy from the elements	-0.036	eV per atom